Na3AlTe2O9 PBE relaxed; formation energy (no corrections) = -22.43 eV/f.u.; space-group type = P-3m1, No. 164; mass density = 4.8 g cm⁻³; N(E_F) = 3.6 states/eV/f.u.; DFT total energy = -5.4026 eV/atom
1.0
5.450 0.000 0.000
-2.725 4.720 0.000
0.000 0.000 6.684
Al Na O Te
1 3 9 2
Cartesian
0.000 0.000 3.342
0.000 3.146 4.407
0.000 0.000 0.000
2.725 1.573 2.276
0.000 1.557 2.230
2.725 3.162 4.454
-1.362 2.360 0.000
1.376 3.941 2.230
1.349 0.779 4.454
1.362 2.360 0.000
4.101 0.779 4.454
2.725 0.000 0.000
-1.376 3.941 2.230
0.000 3.146 1.219
2.725 1.573 5.465